Arrangement a

Density functional theory data (PBE-GGA) for crystalline P2SBr at its relaxed geometry.

Output
- Space group: I-42d, No. 122
- Total magnetic moment: 0.00 μB per atom
- Density of states at the Fermi level: 3.74 states/eV/cell

```
P2SBr
1.0
-2.359 2.359 7.887
2.359 -2.359 7.887
2.359 2.359 -7.887
P S Br
4 2 2
direct
0.375 0.210 0.335 P
0.790 0.125 0.165 P
0.875 0.040 0.665 P
0.960 0.625 0.835 P
0.000 0.000 0.000 S
0.750 0.250 0.500 S
0.250 0.750 0.500 Br
0.500 0.500 0.000 Br
```

Arrangement b

Density functional theory data (PBE-GGA) for crystalline P2SBr at its relaxed geometry.

Output
- Space group: Fm-3m, No. 225
- Total magnetic moment: 0.00 μB per atom
- Density of states at the Fermi level: 3.06 states/eV/cell

```
P2SBr
1.0
0.000 3.278 3.278
3.278 0.000 3.278
3.278 3.278 0.000
P S Br
2 1 1
direct
0.250 0.250 0.250 P
0.750 0.750 0.750 P
0.000 0.000 0.000 S
0.500 0.500 0.500 Br
```

Most stable structure: arrangement a

Arrangement a

Density functional theory data (PBE-GGA) for crystalline P3SBr at its relaxed geometry.

Output
- Space group: Pm-3m, No. 221
- Total magnetic moment: 0.00 μB per atom
- Density of states at the Fermi level: 2.58 states/eV/cell

```
P3SBr
1.0
4.647 0.000 0.000
0.000 4.647 0.000
0.000 0.000 4.647
P S Br
3 1 1
direct
0.000 0.000 0.500 P
0.000 0.500 0.000 P
0.500 0.000 0.000 P
0.000 0.000 0.000 S
0.500 0.500 0.500 Br
```

Arrangement b

Density functional theory data (PBE-GGA) for crystalline P3SBr at its relaxed geometry.

Output
- Space group: Pm-3m, No. 221
- Total magnetic moment: 0.00 μB per atom
- Density of states at the Fermi level: 4.92 states/eV/cell

```
P3SBr
1.0
4.840 0.000 0.000
0.000 4.840 0.000
0.000 0.000 4.840
P S Br
3 1 1
direct
0.000 0.000 0.500 P
0.000 0.500 0.000 P
0.500 0.000 0.000 P
0.500 0.500 0.500 S
0.000 0.000 0.000 Br
```

Most stable structure: arrangement a

Arrangement a

Density functional theory data (PBE-GGA) for crystalline SbP2SBr at its relaxed geometry.

Output
- Space group: P4/mmm, No. 123
- Total magnetic moment: 0.39 μB per atom
- Density of states at the Fermi level: 4.39 states/eV/cell

```
SbP2SBr
1.0
5.260 0.000 0.000
0.000 5.260 0.000
0.000 0.000 4.924
Sb P S Br
1 2 1 1
direct
0.000 0.000 0.000 Sb
0.000 0.500 0.000 P
0.500 0.000 0.000 P
0.000 0.000 0.500 S
0.500 0.500 0.500 Br
```

Arrangement b

Density functional theory data (PBE-GGA) for crystalline SbP2SBr at its relaxed geometry.

Output
- Space group: P4/mmm, No. 123
- Total magnetic moment: 0.00 μB per atom
- Density of states at the Fermi level: 1.94 states/eV/cell

```
SbP2SBr
1.0
4.940 0.000 0.000
0.000 4.940 0.000
0.000 0.000 4.689
Sb P S Br
1 2 1 1
direct
0.000 0.000 0.000 Sb
0.000 0.500 0.500 P
0.500 0.000 0.500 P
0.500 0.500 0.000 S
0.500 0.500 0.500 Br
```

Most stable structure: arrangement a

Arrangement a

Density functional theory data (PBE-GGA) for crystalline SiP2SBr at its relaxed geometry.

Output
- Space group: P4/mmm, No. 123
- Total magnetic moment: 0.00 μB per atom
- Density of states at the Fermi level: 3.40 states/eV/cell

```
SiP2SBr
1.0
4.705 0.000 0.000
0.000 4.705 0.000
0.000 0.000 4.405
Si P S Br
1 2 1 1
direct
0.000 0.000 0.000 Si
0.000 0.500 0.000 P
0.500 0.000 0.000 P
0.000 0.000 0.500 S
0.500 0.500 0.500 Br
```

Arrangement b

Density functional theory data (PBE-GGA) for crystalline SiP2SBr at its relaxed geometry.

Output
- Space group: P4/mmm, No. 123
- Total magnetic moment: 0.00 μB per atom
- Density of states at the Fermi level: 5.04 states/eV/cell

```
SiP2SBr
1.0
4.890 0.000 0.000
0.000 4.890 0.000
0.000 0.000 4.715
Si P S Br
1 2 1 1
direct
0.000 0.000 0.000 Si
0.000 0.500 0.500 P
0.500 0.000 0.500 P
0.500 0.500 0.000 S
0.500 0.500 0.500 Br
```

Most stable structure: arrangement a

Arrangement a

Density functional theory data (PBE-GGA) for crystalline TaPS2Br at its relaxed geometry.

Output
- Space group: P4/mmm, No. 123
- Total magnetic moment: 0.00 μB per atom
- Density of states at the Fermi level: 6.36 states/eV/cell

```
TaPS2Br
1.0
4.645 0.000 0.000
0.000 4.645 0.000
0.000 0.000 4.704
Ta P S Br
1 1 2 1
direct
0.000 0.000 0.000 Ta
0.500 0.500 0.000 P
0.000 0.500 0.500 S
0.500 0.000 0.500 S
0.500 0.500 0.500 Br
```

Arrangement b

Density functional theory data (PBE-GGA) for crystalline TaPS2Br at its relaxed geometry.

Output
- Space group: P4/mmm, No. 123
- Total magnetic moment: 0.00 μB per atom
- Density of states at the Fermi level: 4.29 states/eV/cell

```
TaPS2Br
1.0
4.685 0.000 0.000
0.000 4.685 0.000
0.000 0.000 5.194
Ta P S Br
1 1 2 1
direct
0.000 0.000 0.000 Ta
0.000 0.000 0.500 P
0.000 0.500 0.000 S
0.500 0.000 0.000 S
0.500 0.500 0.500 Br
```

Most stable structure: arrangement b

Arrangement a

Density functional theory data (PBE-GGA) for crystalline TcPS2Br at its relaxed geometry.

Output
- Space group: P4/mmm, No. 123
- Total magnetic moment: 0.82 μB per atom
- Density of states at the Fermi level: 4.53 states/eV/cell

```
TcPS2Br
1.0
4.466 0.000 0.000
0.000 4.466 0.000
0.000 0.000 5.190
Tc P S Br
1 1 2 1
direct
0.000 0.000 0.000 Tc
0.000 0.000 0.500 P
0.000 0.500 0.500 S
0.500 0.000 0.500 S
0.500 0.500 0.000 Br
```

Arrangement b

Density functional theory data (PBE-GGA) for crystalline TcPS2Br at its relaxed geometry.

Output
- Space group: P4/mmm, No. 123
- Total magnetic moment: 0.80 μB per atom
- Density of states at the Fermi level: 2.99 states/eV/cell

```
TcPS2Br
1.0
4.736 0.000 0.000
0.000 4.736 0.000
0.000 0.000 4.967
Tc P S Br
1 1 2 1
direct
0.000 0.000 0.000 Tc
0.500 0.500 0.000 P
0.000 0.500 0.500 S
0.500 0.000 0.500 S
0.500 0.500 0.500 Br
```

Arrangement c

Density functional theory data (PBE-GGA) for crystalline TcPS2Br at its relaxed geometry.

Output
- Space group: P4/mmm, No. 123
- Total magnetic moment: 0.00 μB per atom
- Density of states at the Fermi level: 4.14 states/eV/cell

```
TcPS2Br
1.0
4.537 0.000 0.000
0.000 4.537 0.000
0.000 0.000 4.946
Tc P S Br
1 1 2 1
direct
0.000 0.000 0.000 Tc
0.000 0.000 0.500 P
0.000 0.500 0.000 S
0.500 0.000 0.000 S
0.500 0.500 0.500 Br
```

Most stable structure: arrangement c

Arrangement a

Density functional theory data (PBE-GGA) for crystalline TcP2SBr at its relaxed geometry.

Output
- Space group: P4/mmm, No. 123
- Total magnetic moment: 0.65 μB per atom
- Density of states at the Fermi level: 2.86 states/eV/cell

```
TcP2SBr
1.0
4.846 0.000 0.000
0.000 4.846 0.000
0.000 0.000 4.642
Tc P S Br
1 2 1 1
direct
0.000 0.000 0.000 Tc
0.000 0.500 0.500 P
0.500 0.000 0.500 P
0.500 0.500 0.000 S
0.500 0.500 0.500 Br
```

Arrangement b

Density functional theory data (PBE-GGA) for crystalline TcP2SBr at its relaxed geometry.

Output
- Space group: P4/mmm, No. 123
- Total magnetic moment: 0.00 μB per atom
- Density of states at the Fermi level: 4.90 states/eV/cell

```
TcP2SBr
1.0
4.719 0.000 0.000
0.000 4.719 0.000
0.000 0.000 4.538
Tc P S Br
1 2 1 1
direct
0.000 0.000 0.000 Tc
0.000 0.500 0.000 P
0.500 0.000 0.000 P
0.000 0.000 0.500 S
0.500 0.500 0.500 Br
```

Most stable structure: arrangement b